Crystalline Ca2YHo at its relaxed geometry. Source: the Alexandria database, functional PBE.

## Properties
Total energy   -43.44 eV/cell
Excess energy over the best structure of this formula in the dataset   0.0068 eV/atom
Formation energy from the elements   141.2 meV/atom
Size of the total moment   0.33 μB per cell
Crystal system   trigonal

Cell lengths 3.6549, 3.6549, 37.0331 Å; angles 90.00, 90.00, 120.00 degrees
Space group R-3m (No. 166, hexagonal axes)
Inequivalent atoms, fractional coordinates:
Ca: 0.0000 0.0000 0.2504 x6
Y: 0.0000 0.0000 0.5000 x3
Ho: 0.0000 0.0000 0.0000 x3



Crystalline CdInB at its relaxed geometry. Source: the Alexandria database, functional PBE.

## Properties
Total energy   -17.67 eV/cell
Formation energy from the elements   499.1 meV/atom
Size of the total moment   0.00 μB per cell
Crystal system   triclinic

Cell lengths 4.022, 5.635, 6.180 Å; angles 113.48, 105.37, 94.54 degrees
Space group P1 (No. 1)
Inequivalent atoms, fractional coordinates:
Cd: 0.000 0.000 0.000 x1
Cd: 0.254 0.891 0.543 x1
In: 0.358 0.457 0.877 x1
In: 0.701 0.407 0.470 x1
B: 0.616 0.950 0.240 x1
B: 0.636 0.711 0.311 x1



Repeat the first record exactly.
Crystalline Ca2YHo at its relaxed geometry. Source: the Alexandria database, functional PBE.

## Properties
Total energy   -43.44 eV/cell
Excess energy over the best structure of this formula in the dataset   0.0068 eV/atom
Formation energy from the elements   141.2 meV/atom
Size of the total moment   0.33 μB per cell
Crystal system   trigonal

Cell lengths 3.6549, 3.6549, 37.0331 Å; angles 90.00, 90.00, 120.00 degrees
Space group R-3m (No. 166, hexagonal axes)
Inequivalent atoms, fractional coordinates:
Ca: 0.0000 0.0000 0.2504 x6
Y: 0.0000 0.0000 0.5000 x3
Ho: 0.0000 0.0000 0.0000 x3



> Which value of size of the total moment does entry 2 give?

0.00 μB per cell



> Among the records above, which one has the highest formation energy from the elements?

CdInB